No. 1
Material: As5Br
Method: DFT, PBE
State: relaxed

Summary:
For the polymorph energy (0 for the lowest one), the calculation gives 346 meV per atom. For the energy relative to the elements, uncorrected, the calculation gives 0.438 eV per atom. The value obtained for the total magnetization is 0.000 μB per cell.

```
As5Br
1.0
5.367 0.000 0.000
-2.683 4.648 0.000
0.000 0.000 5.251
As Br
5 1
Direct
0.000 0.500 0.000
0.333 0.667 0.500
0.500 0.000 0.000
0.500 0.500 0.000
0.667 0.333 0.500
0.000 0.000 0.500
```

No. 2
Material: La2AgGe
Method: DFT, PBE
State: relaxed

Summary:
The formation energy is -0.54 eV per atom. The value obtained for the total magnetization is 0.676 μB per cell.

```
La2AgGe
1.0
6.327 0.000 0.000
0.000 4.574 0.000
-3.088 0.000 7.827
La Ag Ge
4 2 2
Direct
0.208 0.250 0.422
0.226 0.250 0.932
0.774 0.750 0.068
0.792 0.750 0.578
0.361 0.750 0.218
0.639 0.250 0.782
0.327 0.750 0.705
0.673 0.250 0.295
```

No. 3
Material: CsGeB3
Method: DFT, PBE
State: relaxed

Summary:
The formation energy is 3.35 eV per atom. The value obtained for the total magnetization is 0.000 μB per cell.

```
CsGeB3
1.0
4.872 0.000 0.000
0.000 4.872 0.000
0.000 0.000 4.872
Cs Ge B
1 1 3
Direct
0.000 0.000 0.000
0.500 0.500 0.500
0.000 0.000 0.500
0.000 0.500 0.000
0.500 0.000 0.000
```